# 1
Compound: Ca2AsP
Source: Alexandria
Functional: GGA-PBE
Structure: relaxed

## Properties
Space group ... R3m, No. 160

abc: 4.5314 4.5314 34.8702
angles: 90.00 90.00 120.00
Fractional positions:
P1 0.3333 0.6667 0.7251
P2 0.3333 0.6667 0.7926
P3 0.0000 0.0000 0.1260
P4 0.6667 0.3333 0.4593
P5 0.0000 0.0000 0.0584
P6 0.6667 0.3333 0.3918
Ca1 0.6667 0.3333 0.8375
Ca2 0.0000 0.0000 0.3457
Ca3 0.3333 0.6667 0.0124
Ca4 0.0000 0.0000 0.5042
Ca5 0.0000 0.0000 0.5967
Ca6 0.3333 0.6667 0.4255
Ca7 0.0000 0.0000 0.7588
Ca8 0.3333 0.6667 0.1708
Ca9 0.3333 0.6667 0.2634
Ca10 0.6667 0.3333 0.9300
Ca11 0.6667 0.3333 0.0922
Ca12 0.6667 0.3333 0.6790
As1 0.3333 0.6667 0.5558
As2 0.6667 0.3333 0.2224
As3 0.0000 0.0000 0.8891
As4 0.0000 0.0000 0.9656
As5 0.3333 0.6667 0.6322
As6 0.6667 0.3333 0.2989

# 2
Compound: Ca2AsP
Source: Alexandria
Functional: GGA-PBE
Structure: relaxed

## Properties
Space group ... I-42d, No. 122

abc: 7.8273 7.8273 6.3919
angles: 52.25 52.25 90.00
Fractional positions:
P1 0.5000 0.5000 0.0000
P2 0.2500 0.7500 0.5000
As1 0.7500 0.2500 0.5000
As2 0.0000 0.0000 0.0000
Ca1 0.8750 0.8616 0.7500
Ca2 0.3750 0.3884 0.7500
Ca3 0.6116 0.1250 0.2500
Ca4 0.1384 0.6250 0.2500

# 3
Compound: Ca2AsP2
Source: Alexandria
Functional: GGA-PBE
Structure: relaxed

## Properties
Space group ... P4/mbm, No. 127

abc: 7.2603 7.2603 4.0799
angles: 90.00 90.00 90.00
Fractional positions:
Ca1 0.6860 0.8140 0.5000
Ca2 0.1860 0.6860 0.5000
Ca3 0.3140 0.1860 0.5000
Ca4 0.8140 0.3140 0.5000
P1 0.1074 0.3926 0.0000
P2 0.6074 0.1074 0.0000
P3 0.8926 0.6074 0.0000
P4 0.3926 0.8926 0.0000
As1 0.5000 0.5000 0.0000
As2 0.0000 0.0000 0.0000

# 4
Compound: CaAs2P
Source: Alexandria
Functional: GGA-PBE
Structure: relaxed

## Properties
Space group ... P2/m, No. 10

abc: 3.8073 4.6506 5.4078
angles: 70.49 90.00 90.00
Fractional positions:
P1 0.5000 0.7500 0.7500
As1 0.0000 0.5987 0.4871
As2 0.0000 0.9013 0.0129
Ca1 0.5000 0.2500 0.2500

# 5
Compound: CaAs2P
Source: Alexandria
Functional: GGA-PBE
Structure: relaxed

## Properties
Space group ... Pmm2, No. 25

abc: 3.7800 4.1131 6.2018
angles: 90.00 90.00 90.00
Fractional positions:
P1 0.5000 0.5000 0.6684
Ca1 0.0000 0.0000 0.6495
As1 0.0000 0.0000 0.1467
As2 0.5000 0.5000 0.0354

# 6
Compound: Ca2AsP
Source: Alexandria
Functional: GGA-PBE
Structure: relaxed

## Properties
Space group ... Pmmm, No. 47

abc: 3.3762 4.8910 5.9734
angles: 90.00 90.00 90.00
Fractional positions:
Ca1 0.0000 0.0000 0.8748
Ca2 0.5000 0.5000 0.3751
P1 0.0000 0.0000 0.3749
As1 0.5000 0.5000 0.8751

# 7
Compound: Ca8As5P
Source: Alexandria
Functional: GGA-PBE
Structure: relaxed

## Properties
Space group ... I-4, No. 82

abc: 7.7319 7.7319 7.7319
angles: 109.59 109.24 109.59
Fractional positions:
Ca1 0.6192 0.8827 0.8729
Ca2 0.1255 0.7482 0.5181
Ca3 0.7699 0.2518 0.3773
Ca4 0.1271 0.7463 0.0098
Ca5 0.9902 0.1173 0.7365
Ca6 0.6227 0.3926 0.8745
Ca7 0.2635 0.2537 0.3808
Ca8 0.4819 0.6074 0.2301
As1 0.5000 0.0000 0.5000
As2 0.7498 0.6252 0.6228
As3 0.9976 0.3748 0.1245
As4 0.3772 0.1270 0.0024
As5 0.8755 0.8730 0.2502
P1 0.2500 0.5000 0.7500

# 8
Compound: CaAs2P
Source: Alexandria
Functional: GGA-PBE
Structure: relaxed

## Properties
Space group ... F-43m, No. 216

abc: 4.9034 4.9034 4.9034
angles: 60.00 60.00 60.00
Fractional positions:
P1 0.7500 0.7500 0.7500
Ca1 0.5000 0.5000 0.5000
As1 0.0000 0.0000 0.0000
As2 0.2500 0.2500 0.2500

# 9
Compound: Ca2AsP
Source: Alexandria
Functional: GGA-PBE
Structure: relaxed

## Properties
Space group ... P-6m2, No. 187

abc: 4.5643 4.5643 11.2741
angles: 90.00 90.00 120.00
Fractional positions:
As1 0.3333 0.6667 0.1160
As2 0.3333 0.6667 0.8840
Ca1 0.3333 0.6667 0.5000
Ca2 0.0000 0.0000 0.7435
Ca3 0.6667 0.3333 0.0000
Ca4 0.0000 0.0000 0.2565
P1 0.6667 0.3333 0.6038
P2 0.6667 0.3333 0.3962

# 10
Compound: Ca2AsP
Source: Alexandria
Functional: GGA-PBE
Structure: relaxed

## Properties
Space group ... Fm-3m, No. 225

abc: 5.0757 5.0757 5.0757
angles: 60.00 60.00 60.00
Fractional positions:
Ca1 0.7500 0.7500 0.7500
Ca2 0.2500 0.2500 0.2500
As1 0.5000 0.5000 0.5000
P1 0.0000 0.0000 0.0000

# 11
Compound: CaAs2P
Source: Alexandria
Functional: GGA-PBE
Structure: relaxed

## Properties
Space group ... I-42d, No. 122

abc: 7.0355 7.0355 6.3577
angles: 56.41 56.41 90.00
Fractional positions:
As1 0.8750 0.8058 0.7500
As2 0.3750 0.4442 0.7500
As3 0.1942 0.6250 0.2500
As4 0.5558 0.1250 0.2500
P1 0.2500 0.7500 0.5000
P2 0.5000 0.5000 0.0000
Ca1 0.0000 0.0000 0.0000
Ca2 0.7500 0.2500 0.5000

# 12
Compound: CaAs2P2
Source: Alexandria
Functional: GGA-PBE
Structure: relaxed

## Properties
Space group ... I4/mmm, No. 139

abc: 3.8788 3.8788 7.3684
angles: 74.74 74.74 90.00
Fractional positions:
As1 0.5924 0.5924 0.8151
As2 0.4076 0.4076 0.1849
Ca1 0.0000 0.0000 0.0000
P1 0.2500 0.7500 0.5000
P2 0.7500 0.2500 0.5000

# 13
Compound: Ca2AsP
Source: Alexandria
Functional: GGA-PBE
Structure: relaxed

## Properties
Space group ... P-1, No. 2

abc: 4.2693 5.6096 9.2279
angles: 86.47 81.05 68.27
Fractional positions:
Ca1 0.1918 0.7278 0.3771
Ca2 0.6041 0.2229 0.1123
Ca3 0.8082 0.2722 0.6229
Ca4 0.3959 0.7771 0.8877
P1 0.5882 0.8519 0.5872
P2 0.4118 0.1481 0.4128
As1 0.1270 0.3473 0.8880
As2 0.8730 0.6527 0.1120

# 14
Compound: Ca2AsP
Source: Alexandria
Functional: GGA-PBE
Structure: relaxed

## Properties
Space group ... Cmmm, No. 65

abc: 5.1095 5.1095 3.5186
angles: 90.00 90.00 99.34
Fractional positions:
Ca1 0.0000 0.0000 0.0000
Ca2 0.5000 0.5000 0.0000
P1 0.5000 0.0000 0.5000
As1 0.0000 0.5000 0.5000

# 15
Compound: Ca2AsP
Source: Alexandria
Functional: GGA-PBE
Structure: relaxed

## Properties
Space group ... P2/m, No. 10

abc: 3.9040 3.4547 7.5280
angles: 63.11 90.00 90.00
Fractional positions:
Ca1 0.0000 0.5067 0.4908
Ca2 0.0000 0.9933 0.0092
P1 0.5000 0.2500 0.2500
As1 0.5000 0.7500 0.7500

# 16
Compound: Ca7As2P2
Source: Alexandria
Functional: GGA-PBE
Structure: relaxed

## Properties
Space group ... Cmmm, No. 65

abc: 6.9274 6.9431 6.9274
angles: 90.00 94.42 90.00
Fractional positions:
Ca1 0.0000 0.0000 0.0000
Ca2 0.0000 0.2506 0.5000
Ca3 0.5000 0.2454 0.5000
Ca4 0.5000 0.2506 0.0000
Ca5 0.5000 0.7494 0.0000
Ca6 0.5000 0.7546 0.5000
Ca7 0.0000 0.7494 0.5000
P1 0.2724 0.0000 0.7276
P2 0.7276 0.0000 0.2724
As1 0.2449 0.5000 0.2449
As2 0.7551 0.5000 0.7551

# 17
Compound: CaAs2P
Source: Alexandria
Functional: GGA-PBE
Structure: relaxed

## Properties
Space group ... R-3m, No. 166

abc: 7.4936 7.4936 7.4936
angles: 28.76 28.76 28.76
Fractional positions:
Ca1 0.2500 0.2500 0.2500
P1 0.7500 0.7500 0.7500
As1 0.4845 0.4845 0.4845
As2 0.0155 0.0155 0.0155

# 18
Compound: CaAs2P
Source: Alexandria
Functional: GGA-PBE
Structure: relaxed

## Properties
Space group ... Pm, No. 6

abc: 3.8995 4.6199 5.3708
angles: 73.37 90.00 90.00
Fractional positions:
P1 0.5000 0.8666 0.7095
Ca1 0.0000 0.5066 0.5174
As1 0.0000 0.9745 0.9939
As2 0.5000 0.1523 0.2792

# 19
Compound: Ca2AsP
Source: Alexandria
Functional: GGA-PBE
Structure: relaxed

## Properties
Space group ... R-3m, No. 166

abc: 8.2023 8.2023 8.2023
angles: 27.25 27.25 27.25
Fractional positions:
P1 0.2500 0.2500 0.2500
Ca1 0.9934 0.9934 0.9934
Ca2 0.5066 0.5066 0.5066
As1 0.7500 0.7500 0.7500

# 20
Compound: Ca2AsP
Source: Alexandria
Functional: GGA-PBE
Structure: relaxed

## Properties
Space group ... R3m, No. 160

abc: 9.4342 9.4342 9.4342
angles: 22.79 22.79 22.79
Fractional positions:
Ca1 0.0151 0.0151 0.0151
Ca2 0.2294 0.2294 0.2294
As1 0.7688 0.7688 0.7688
P1 0.4868 0.4868 0.4868

Quick rundown of energy of formation from the pure elements, same order as above: -1011; -685; -739; -357; -368; -800; -1119; -42; -1074; -787; -265; 65; -1007; -826; -832; -898; -237; -399; -779; -98 meV per atom
Quick rundown of E_tot, same order as above: -108.6; -33.6; -46.3; -18.1; -18.2; -17.3; -60.3; -16.9; -36.7; -17.2; -35.5; -21.8; -36.2; -17.4; -17.4; -44.0; -17.7; -18.3; -17.2; -14.5 eV for the cell shown